# Na2Zn2IO6 | Alexandria | PBE | relaxed
# - total energy (eV per atom) = -4.392
data_Na2Zn2IO6
_cell_length_a 5.547
_cell_length_b 9.270
_cell_length_c 5.931
_cell_angle_alpha 90.00
_cell_angle_beta 110.01
_cell_angle_gamma 90.00
_symmetry_space_group_name_H-M 'C 1 2/m 1'
_symmetry_Int_Tables_number 12
_symmetry_space_group_name_Hall '-C 2y'
loop_
_atom_site_label
_atom_site_type_symbol
_atom_site_fract_x
_atom_site_fract_y
_atom_site_fract_z
_atom_site_occupancy
Na1 Na 0.000 0.177 0.000 1
Zn1 Zn 0.000 0.336 0.500 1
I1 I 0.000 0.000 0.500 1
O1 O 0.218 0.161 0.701 1
O2 O 0.241 0.000 0.307 1